# 1
Computed, not measured: an optimized crystal structure of Li3AcAu3 at the PBE level of DFT.

Unit cell a=9.036 b=9.036 c=4.532 alpha=90.00 beta=90.00 gamma=120.00
Element x y z (fractional)
1 Li 0.031 0.269 0.250
2 Li 0.239 0.969 0.250
3 Li 0.269 0.239 0.750
4 Li 0.731 0.761 0.250
5 Li 0.761 0.031 0.750
6 Li 0.969 0.731 0.750
7 Ac 0.333 0.667 0.750
8 Ac 0.667 0.333 0.250
9 Au 0.058 0.626 0.250
10 Au 0.374 0.432 0.250
11 Au 0.432 0.058 0.750
12 Au 0.568 0.942 0.250
13 Au 0.626 0.568 0.750
14 Au 0.942 0.374 0.750

energy relative to the elements: -0.567 eV per atom
calculated density: 8.691 g/cm³
crystal system: hexagonal
E: -47.30 eV/cell
ΔE to the lowest computed polymorph: 0.00 eV/f.u.
spin magnetization: 0.0 μB/f.u.


# 2
Computed, not measured: an optimized crystal structure of LiAcAu2 at the PBE level of DFT.

Unit cell a=5.215 b=5.215 c=5.215 alpha=60.00 beta=60.00 gamma=60.00
Element x y z (fractional)
1 Li 0.000 0.000 0.000
2 Ac 0.500 0.500 0.500
3 Au 0.250 0.250 0.250
4 Au 0.750 0.750 0.750

energy relative to the elements: -0.632 eV per atom
calculated density: 10.396 g/cm³
crystal system: cubic
E: -15.11 eV/cell
ΔE to the lowest computed polymorph: 0.41 eV/f.u.
spin magnetization: 0.0 μB/f.u.


# 3
Computed, not measured: an optimized crystal structure of LiAcAu4 at the PBE level of DFT.

Unit cell a=4.240 b=4.240 c=7.807 alpha=90.00 beta=90.00 gamma=90.00
Element x y z (fractional)
1 Li 0.000 0.000 0.000
2 Ac 0.500 0.500 0.500
3 Au 0.000 0.500 0.198
4 Au 0.000 0.500 0.802
5 Au 0.500 0.000 0.198
6 Au 0.500 0.000 0.802

energy relative to the elements: -0.428 eV per atom
calculated density: 12.092 g/cm³
crystal system: tetragonal
E: -21.70 eV/cell
ΔE to the lowest computed polymorph: 0.56 eV/f.u.
spin magnetization: 0.0 μB/f.u.


# 4
Computed, not measured: an optimized crystal structure of LiAc5Au4 at the PBE level of DFT.

Unit cell a=3.936 b=3.936 c=19.753 alpha=90.00 beta=90.00 gamma=90.00
Element x y z (fractional)
1 Li 0.000 0.000 0.000
2 Ac 0.500 0.500 0.110
3 Ac 0.500 0.500 0.303
4 Ac 0.500 0.500 0.500
5 Ac 0.500 0.500 0.697
6 Ac 0.500 0.500 0.890
7 Au 0.000 0.000 0.199
8 Au 0.000 0.000 0.401
9 Au 0.000 0.000 0.599
10 Au 0.000 0.000 0.801

energy relative to the elements: -0.611 eV per atom
calculated density: 10.471 g/cm³
crystal system: tetragonal
E: -41.67 eV/cell
spin magnetization: 0.0 μB/f.u.


# 5
Computed, not measured: an optimized crystal structure of LiAc2Au3 at the PBE level of DFT.

Unit cell a=9.469 b=9.139 c=6.231 alpha=73.32 beta=67.61 gamma=39.08
Element x y z (fractional)
1 Li 0.168 0.168 0.832
2 Li 0.832 0.832 0.168
3 Ac 0.250 0.250 0.250
4 Ac 0.253 0.747 0.747
5 Ac 0.747 0.253 0.253
6 Ac 0.750 0.750 0.750
7 Au 0.145 0.679 0.321
8 Au 0.321 0.855 0.145
9 Au 0.326 0.326 0.674
10 Au 0.674 0.674 0.326
11 Au 0.679 0.145 0.855
12 Au 0.855 0.321 0.679

energy relative to the elements: -0.733 eV per atom
calculated density: 11.116 g/cm³
crystal system: orthorhombic
E: -48.73 eV/cell
spin magnetization: 0.0 μB/f.u.


# 6
Computed, not measured: an optimized crystal structure of LiAc4Au4 at the PBE level of DFT.

Unit cell a=9.182 b=9.182 c=6.367 alpha=90.00 beta=90.00 gamma=90.00
Element x y z (fractional)
1 Li 0.250 0.250 0.250
2 Li 0.750 0.750 0.750
3 Ac 0.033 0.683 0.125
4 Ac 0.183 0.967 0.625
5 Ac 0.317 0.533 0.625
6 Ac 0.467 0.817 0.125
7 Ac 0.533 0.183 0.875
8 Ac 0.683 0.467 0.375
9 Ac 0.817 0.033 0.375
10 Ac 0.967 0.317 0.875
11 Au 0.002 0.347 0.379
12 Au 0.153 0.002 0.121
13 Au 0.347 0.498 0.121
14 Au 0.498 0.153 0.379
15 Au 0.502 0.847 0.621
16 Au 0.653 0.502 0.879
17 Au 0.847 0.998 0.879
18 Au 0.998 0.653 0.621

energy relative to the elements: -0.638 eV per atom
calculated density: 10.536 g/cm³
crystal system: tetragonal
E: -74.40 eV/cell
spin magnetization: 0.0 μB/f.u.


# 7
Computed, not measured: an optimized crystal structure of LiAcAu at the PBE level of DFT.

Unit cell a=8.676 b=8.676 c=4.275 alpha=90.00 beta=90.00 gamma=90.00
Element x y z (fractional)
1 Li 0.090 0.854 0.000
2 Li 0.146 0.090 0.500
3 Li 0.854 0.910 0.500
4 Li 0.910 0.146 0.000
5 Ac 0.214 0.412 0.000
6 Ac 0.412 0.786 0.500
7 Ac 0.588 0.214 0.500
8 Ac 0.786 0.588 0.000
9 Au 0.061 0.666 0.500
10 Au 0.334 0.061 0.000
11 Au 0.666 0.939 0.000
12 Au 0.939 0.334 0.500

energy relative to the elements: -0.545 eV per atom
calculated density: 8.896 g/cm³
crystal system: tetragonal
E: -43.74 eV/cell
ΔE to the lowest computed polymorph: 0.02 eV/f.u.
spin magnetization: 0.0 μB/f.u.


# 8
Computed, not measured: an optimized crystal structure of Li7Ac3Au4 at the PBE level of DFT.

Unit cell a=8.727 b=8.727 c=10.765 alpha=124.00 beta=124.00 gamma=29.04
Element x y z (fractional)
1 Li 0.000 0.000 0.000
2 Li 0.163 0.163 0.924
3 Li 0.324 0.324 0.496
4 Li 0.485 0.485 0.200
5 Li 0.515 0.515 0.800
6 Li 0.676 0.676 0.504
7 Li 0.837 0.837 0.076
8 Ac 0.000 0.000 0.500
9 Ac 0.303 0.303 0.787
10 Ac 0.697 0.697 0.213
11 Au 0.105 0.105 0.317
12 Au 0.343 0.343 0.242
13 Au 0.657 0.657 0.758
14 Au 0.895 0.895 0.683

energy relative to the elements: -0.477 eV per atom
calculated density: 7.757 g/cm³
crystal system: monoclinic
E: -45.51 eV/cell
spin magnetization: 0.0 μB/f.u.